Record 1
NaTl5In2: relaxed, PBE.

```
data_NaTl5In2
_chemical_formula_sum 'Na4 Tl20 In8'
_cell_length_a 11.137
_cell_length_b 11.161
_cell_length_c 7.510
_cell_angle_alpha 90.00
_cell_angle_beta 90.00
_cell_angle_gamma 90.00
_space_group_name_H-M_alt 'P b a m'
_space_group_IT_number 55
loop_
_space_group_symop_operation_xyz
'x,y,z'
'-x,-y,-z'
'-x,-y,z'
'x,y,-z'
'x+1/2,-y+1/2,-z'
'-x+1/2,y+1/2,z'
'-x+1/2,y+1/2,-z'
'x+1/2,-y+1/2,z'
loop_
_atom_site_label
_atom_site_type_symbol
_atom_site_fract_x
_atom_site_fract_y
_atom_site_fract_z
Na1 Na 0.017 0.244 0.000
Tl1 Tl 0.000 0.500 0.249
Tl2 Tl 0.235 0.752 0.255
Tl3 Tl 0.237 0.001 0.000
Tl4 Tl 0.249 0.502 0.500
In1 In 0.000 0.000 0.270
In2 In 0.016 0.247 0.500
```

## Properties
Formation energy (meV per atom): -36
Raw total energy (eV per atom): -2.3643
Spin magnetization (μB/f.u.): 0.0
Offset from the most stable computed form (eV per atom): 0.000

Record 2
BaMg4Hg8: relaxed, PBE.

```
data_BaMg4Hg8
_chemical_formula_sum 'Ba2 Mg8 Hg16'
_cell_length_a 10.124
_cell_length_b 10.124
_cell_length_c 6.197
_cell_angle_alpha 90.00
_cell_angle_beta 90.00
_cell_angle_gamma 90.00
_space_group_name_H-M_alt 'I 4/m m m'
_space_group_IT_number 139
_space_group_name_Hall '-I 4 2'
loop_
_atom_site_label
_atom_site_type_symbol
_atom_site_fract_x
_atom_site_fract_y
_atom_site_fract_z
Ba1 Ba 0.000 0.000 0.000
Mg1 Mg 0.250 0.250 0.250
Hg1 Hg 0.000 0.222 0.500
Hg2 Hg 0.000 0.342 0.000
```

## Properties
Formation energy (meV per atom): -252
Raw total energy (eV per atom): -1.0760
Spin magnetization (μB/f.u.): 0.0